1) # TbCO4 (meta-GGA SCAN, PBEsol geometry)
# Crystal system: hexagonal
data_TbCO4
_chemical_formula_sum 'Tb18 C18 O72'
_symmetry_space_group_name_H-M 'P -6'
_symmetry_Int_Tables_number 174
_cell_length_a 11.8553
_cell_length_b 11.8553
_cell_length_c 9.6436
_cell_angle_alpha 90.00
_cell_angle_beta 90.00
_cell_angle_gamma 120.00
loop_
_symmetry_equiv_pos_as_xyz
'x,y,z'
'-x+y,-x,-z'
'-y,x-y,z'
'x,y,-z'
'-x+y,-x,z'
'-y,x-y,-z'
loop_
_atom_site_label
_atom_site_fract_x
_atom_site_fract_y
_atom_site_fract_z
Tb1 0.2172 0.7791 0.2466
Tb2 0.2268 0.1120 0.2445
Tb3 0.5515 0.1058 0.2579
C1 0.0254 0.8297 0.5000
C2 0.0923 0.8856 0.0000
C3 0.1280 0.5738 0.0000
C4 0.1369 0.6371 0.5000
C5 0.4611 0.2208 0.5000
C6 0.4673 0.1579 0.0000
O1 0.0000 0.0000 0.2485
O2 0.0031 0.3335 0.3040
O3 0.0781 0.8329 0.3824
O4 0.0844 0.2396 0.1158
O5 0.0855 0.5850 0.3829
O6 0.0998 0.5117 0.1162
O7 0.1744 0.1420 0.0000
O8 0.1815 0.0925 0.5000
O9 0.1851 0.6989 0.0000
O10 0.2418 0.7495 0.5000
O11 0.3333 0.6667 0.2541
O12 0.3370 0.3323 0.1945
O13 0.4170 0.1611 0.1169
O14 0.4298 0.2518 0.3837
O15 0.5238 0.1586 0.5000
O16 0.5713 0.1485 0.0000
O17 0.6667 0.3333 0.2483

2) # TbCO4 (meta-GGA SCAN, PBEsol geometry)
# Crystal system: orthorhombic
data_TbCO4
_chemical_formula_sum 'Tb4 C4 O16'
_symmetry_space_group_name_H-M 'P 21 21 21'
_symmetry_Int_Tables_number 19
_cell_length_a 4.774
_cell_length_b 7.157
_cell_length_c 8.716
_cell_angle_alpha 90.00
_cell_angle_beta 90.00
_cell_angle_gamma 90.00
loop_
_symmetry_equiv_pos_as_xyz
'x,y,z'
'-x+1/2,-y,z+1/2'
'x+1/2,-y+1/2,-z'
'-x,y+1/2,-z+1/2'
loop_
_atom_site_label
_atom_site_fract_x
_atom_site_fract_y
_atom_site_fract_z
Tb1 0.034 0.135 0.166
C1 0.013 0.039 0.835
O1 0.031 0.826 0.140
O2 0.042 0.432 0.777
O3 0.175 0.616 0.579
O4 0.224 0.930 0.370

Verdict on stability: 1) comes out on top.